Entry 1:
MnGaS2N after structural relaxation. Source: Alexandria, functional PBE.

Unit cell a=4.7304 b=4.7304 c=3.4487 alpha=90.00 beta=90.00 gamma=90.00
With the nearest neighbours (Å) after each atom.
Fractional coordinates of all 5 atoms:
S 0.0000 0.5000 0.0000  2 Mn 2.37
S 0.5000 0.0000 0.0000  2 Mn 2.37
Mn 0.0000 0.0000 0.0000  2 N 1.72
Ga 0.5000 0.5000 0.5000  8 S 2.93
N 0.0000 0.0000 0.5000  2 Mn 1.72

Uncorrected formation energy, meV per atom: 140
Excess energy over the best structure of this formula in the dataset, meV per atom: 0
Magnetic moment, μB per atom: 0.285
Uncorrected energy, eV per atom: -5.615


Entry 2:
Sc2InTe after structural relaxation. Source: Alexandria, functional PBE.

Unit cell a=5.4625 b=5.4625 c=5.4625 alpha=135.92 beta=119.27 gamma=78.04
With the nearest neighbours (Å) after each atom.
Fractional coordinates of all 4 atoms:
In 0.2500 0.7500 0.5000  4 Sc 2.99
Sc 0.9930 0.9930 0.0000  2 Te 2.91, 2 In 2.99
Sc 0.5070 0.5070 0.0000  2 Te 2.91, 2 In 2.99
Te 0.7500 0.2500 0.5000  4 Sc 2.91

Uncorrected formation energy, meV per atom: -524
Excess energy over the best structure of this formula in the dataset, meV per atom: 163
Magnetic moment, μB per atom: 0.000
Uncorrected energy, eV per atom: -5.160


Entry 3:
LiTa2Pt after structural relaxation. Source: Alexandria, functional PBE.

Unit cell a=7.4274 b=7.4274 c=5.8761 alpha=50.80 beta=50.80 gamma=90.00
With the nearest neighbours (Å) after each atom.
Fractional coordinates of all 8 atoms:
Li 0.5000 0.5000 0.0000  2 Pt 2.64, 4 Ta 2.85
Li 0.2500 0.7500 0.5000  2 Pt 2.64, 4 Ta 2.85
Pt 0.0000 0.0000 0.0000  4 Ta 2.57, 2 Li 2.64
Pt 0.7500 0.2500 0.5000  4 Ta 2.57, 2 Li 2.64
Ta 0.6532 0.1250 0.2500  2 Pt 2.57, 2 Ta 2.67, 2 Li 2.85
Ta 0.0968 0.6250 0.2500  2 Pt 2.57, 2 Ta 2.67, 2 Li 2.85
Ta 0.3750 0.3468 0.7500  2 Pt 2.57, 2 Ta 2.67, 2 Li 2.85
Ta 0.8750 0.9032 0.7500  2 Pt 2.57, 2 Ta 2.67, 2 Li 2.85

Magnetic moment, μB per atom: 0.000
Uncorrected energy, eV per atom: -7.621


Entry 4:
Si2HgRu after structural relaxation. Source: Alexandria, functional PBE.

Unit cell a=4.7404 b=4.7404 c=4.7404 alpha=129.05 beta=129.05 gamma=74.94
With the nearest neighbours (Å) after each atom.
Fractional coordinates of all 4 atoms:
Hg 0.2500 0.7500 0.5000  8 Si 2.77, 4 Ru 2.88
Ru 0.7500 0.2500 0.5000  8 Si 2.77, 4 Hg 2.88
Si 0.0000 0.0000 0.0000  4 Hg 2.77, 4 Ru 2.77, 4 Si 2.88
Si 0.5000 0.5000 0.0000  4 Hg 2.77, 4 Ru 2.77, 4 Si 2.88

Uncorrected formation energy, meV per atom: 452
Magnetic moment, μB per atom: 0.000
Uncorrected energy, eV per atom: -4.654


Entry 5:
Na2CrHAu after structural relaxation. Source: Alexandria, functional PBE.

Unit cell a=4.4481 b=4.4481 c=4.2002 alpha=90.00 beta=90.00 gamma=90.00
With the nearest neighbours (Å) after each atom.
Fractional coordinates of all 5 atoms:
Cr 0.0000 0.0000 0.5000  2 H 2.10
Au 0.5000 0.5000 0.5000  8 Na 3.06, 4 Cr 3.15
H 0.0000 0.0000 0.0000  2 Cr 2.10, 4 Na 2.22
Na 0.0000 0.5000 0.0000  2 H 2.22
Na 0.5000 0.0000 0.0000  2 H 2.22

Magnetic moment, μB per atom: 0.864
Uncorrected energy, eV per atom: -3.625


Entry 6:
CsInTe2 after structural relaxation. Source: Alexandria, functional PBE.

Unit cell a=7.8773 b=7.2426 c=7.8902 alpha=106.19 beta=108.36 gamma=106.37
With the nearest neighbours (Å) after each atom.
Fractional coordinates of all 8 atoms:
Cs 0.9453 0.9952 0.2902  6 Te 3.99-4.06
Cs 0.1880 0.5052 0.0158  6 Te 3.99-4.06
Te 0.4999 0.1260 0.3418  2 In 2.85
Te 0.8834 0.8792 0.7372  2 In 2.85
Te 0.6334 0.3745 0.9642  2 In 2.85
Te 0.2498 0.6212 0.5687  2 In 2.85
In 0.5627 0.0005 0.6597  4 Te 2.85
In 0.5705 0.5000 0.6463  4 Te 2.85

Uncorrected formation energy, meV per atom: -729
Magnetic moment, μB per atom: 0.000
Uncorrected energy, eV per atom: -3.198


Entry 7:
ThCdPd2 after structural relaxation. Source: Alexandria, functional PBE.

Unit cell a=3.4990 b=4.9020 c=4.9020 alpha=90.00 beta=90.00 gamma=90.00
With the nearest neighbours (Å) after each atom.
Fractional coordinates of all 4 atoms:
Pd 0.0000 0.0000 0.5000  4 Th 3.01, 4 Cd 3.01
Pd 0.0000 0.5000 0.0000  4 Th 3.01, 4 Cd 3.01
Th 0.5000 0.5000 0.5000  8 Pd 3.01
Cd 0.5000 0.0000 0.0000  8 Pd 3.01

Magnetic moment, μB per atom: 0.000
Uncorrected energy, eV per atom: -5.202


Entry 8:
AcPu2Pd after structural relaxation. Source: Alexandria, functional PBE.

Unit cell a=3.6846 b=3.6846 c=10.9996 alpha=80.36 beta=80.36 gamma=60.00
With the nearest neighbours (Å) after each atom.
Fractional coordinates of all 4 atoms:
Ac 0.0000 0.0000 0.0000  2 Pu 3.46, 6 Ac 3.68
Pd 0.5000 0.5000 0.5000  6 Pu 2.88
Pu 0.1068 0.1068 0.6796  3 Pd 2.88
Pu 0.8932 0.8932 0.3204  3 Pd 2.88

Excess energy over the best structure of this formula in the dataset, meV per atom: 262
Magnetic moment, μB per atom: 3.061
Uncorrected energy, eV per atom: -9.307


Entry 9:
RbHfCu2F8 after structural relaxation. Source: Alexandria, functional PBE.

Unit cell a=5.1723 b=5.1723 c=9.2804 alpha=73.82 beta=73.82 gamma=60.00
With the nearest neighbours (Å) after each atom.
Fractional coordinates of all 12 atoms:
Rb 0.0000 0.0000 0.0000  6 F 2.99
Hf 0.5000 0.5000 0.5000  6 F 2.02
Cu 0.7408 0.7408 0.7776  1 F 1.84
Cu 0.2592 0.2592 0.2224  1 F 1.84
F 0.6710 0.6710 0.9871  1 Cu 1.84
F 0.3290 0.3290 0.0129  1 Cu 1.84
F 0.5172 0.2616 0.3556  1 Hf 2.02, 1 Cu 2.06
F 0.7384 0.4828 0.6444  1 Hf 2.02, 1 Cu 2.06
F 0.1344 0.7384 0.6444  1 Hf 2.02, 1 Cu 2.06
F 0.2616 0.8656 0.3556  1 Hf 2.02, 1 Cu 2.06
F 0.8656 0.5172 0.3556  1 Hf 2.02, 1 Cu 2.06
F 0.4828 0.1344 0.6444  1 Hf 2.02, 1 Cu 2.06

Uncorrected formation energy, meV per atom: -2522
Magnetic moment, μB per atom: 0.085
Uncorrected energy, eV per atom: -5.363